Record 1
First-principles (PBE) data for a relaxed La4Tb5Dy crystal, as listed in Alexandria via LeMat-Bulk.

Structure (POSCAR):
```
La4Tb5Dy
1.0
-1.9245 5.1965 -2.6272
-7.9564 1.3128 1.2673
0.6740 6.4045 5.0163
La Tb Dy
4 5 1
Cartesian
-6.3948 9.1743 2.2526 La
-6.0069 5.2314 1.3273 La
-2.5715 3.0897 1.7323 La
-2.9594 7.0326 2.6576 La
-7.8212 6.0790 3.9985 Tb
-1.2350 6.4277 -0.1364 Tb
-1.3398 3.6176 -1.8290 Tb
-3.8132 10.9111 3.4626 Tb
-5.2430 1.5956 0.3996 Tb
-0.4251 1.1479 -0.5804 Dy
```

=====

Record 2
First-principles (PBE) data for a relaxed La2Tb9Dy3 crystal, as listed in Alexandria via LeMat-Bulk.

Structure (POSCAR):
```
La2Tb9Dy3
1.0
-1.4628 -5.0916 -1.4840
4.3625 -11.4110 4.2033
-5.1666 -9.5060 7.0604
Dy Tb La
3 9 2
Cartesian
-1.4628 -5.0916 -1.4840 Dy
-0.7212 -17.3495 9.1618 Dy
-1.5457 -8.6591 0.6179 Dy
-3.3495 -18.8810 6.8639 Tb
-4.0217 -15.7397 6.9388 Tb
-0.4021 -10.4585 5.6319 Tb
-1.8083 -6.5497 3.7825 Tb
-3.4773 -9.2230 4.4096 Tb
1.2104 -16.7856 5.3701 Tb
-0.4586 -19.4589 5.9972 Tb
1.7548 -10.2690 2.8409 Tb
1.0826 -7.1276 2.9158 Tb
-3.6438 -12.5024 5.6425 La
1.3769 -13.5061 4.1372 La
```

=====

Record 3
First-principles (PBE) data for a relaxed La5TbDy3 crystal, as listed in Alexandria via LeMat-Bulk.

Structure (POSCAR):
```
La5TbDy3
1.0
6.4165 0.0000 0.0000
-3.2083 9.8197 -4.2215
0.0000 -2.6545 11.4182
La Dy Tb
10 6 2
Cartesian
-2.0270 5.0256 2.7581 La
2.6306 -1.9909 8.5637 La
-1.1877 4.6723 7.0482 La
3.7859 -0.6636 2.8546 La
1.1813 3.4669 -1.2705 La
5.2352 2.1396 4.4387 La
2.0205 1.1657 5.8577 La
2.0270 3.6984 8.4672 La
4.3960 2.4930 0.1485 La
1.1877 5.9995 1.3391 La
-1.6903 5.9659 -0.7560 Dy
1.5180 2.5265 2.2437 Dy
0.0000 0.0000 0.0000 Dy
1.6903 4.6387 4.9531 Dy
0.0000 -1.3272 5.7091 Dy
4.8985 1.1993 7.9528 Dy
0.6839 -0.6636 2.8546 Tb
5.7326 -1.9909 8.5637 Tb
```

=====

Record 4
First-principles (PBE) data for a relaxed LaTb6Dy12 crystal, as listed in Alexandria via LeMat-Bulk.

Structure (POSCAR):
```
LaTb6Dy12
1.0
-4.6190 5.7540 5.7723
-2.5415 -8.8076 1.9315
9.1784 0.8712 1.6618
Dy La Tb
12 1 6
Cartesian
-4.3862 0.8181 6.2901 Dy
1.8213 -6.7851 3.1810 Dy
0.2831 -0.1466 7.0379 Dy
5.5917 2.6935 4.5773 Dy
-1.1676 -1.0086 3.1924 Dy
3.1855 -1.1738 6.1733 Dy
0.7201 -3.2098 6.2300 Dy
0.1966 4.6027 6.1847 Dy
1.2978 1.0274 3.1356 Dy
-3.5738 -4.8758 4.7883 Dy
6.4041 -3.0005 3.0755 Dy
1.7348 -2.0357 2.3277 Dy
0.0000 0.0000 0.0000 La
3.3839 -3.9898 3.8629 Tb
4.6390 -0.3177 3.7137 Tb
-2.6211 -1.8647 5.6519 Tb
2.4797 2.3477 5.5345 Tb
-0.4618 -4.5301 3.8311 Tb
-1.3660 1.8074 5.5027 Tb
```

=====

Record 5
First-principles (PBE) data for a relaxed LaTb2Dy7 crystal, as listed in Alexandria via LeMat-Bulk.

Structure (POSCAR):
```
LaTb2Dy7
1.0
-4.4925 -1.1411 -3.2221
5.4620 -0.8386 -7.3186
-2.1468 -7.0304 5.4830
Dy La Tb
7 1 2
Cartesian
1.3647 -6.3303 -4.6060 Dy
3.7916 -2.1979 -4.5082 Dy
-2.5421 -2.6798 -0.4516 Dy
-0.4765 -5.6711 2.6727 Dy
-0.5887 -4.5050 -2.5288 Dy
-0.7780 -1.2442 -3.4196 Dy
-0.3994 -7.7658 -1.6380 Dy
0.0000 0.0000 0.0000 La
-2.1355 -5.7638 0.0737 Tb
0.9581 -3.2463 -5.1313 Tb
```

=====

Record 6
First-principles (PBE) data for a relaxed LaTb4Dy7 crystal, as listed in Alexandria via LeMat-Bulk.

Structure (POSCAR):
```
LaTb4Dy7
1.0
5.9031 0.0000 0.0000
2.9516 11.1728 -0.2346
2.9516 0.2004 6.0472
Dy Tb La
7 4 1
Cartesian
2.9516 0.0000 0.0000 Dy
8.8547 3.8793 4.6589 Dy
5.9031 5.5902 1.3107 Dy
2.9516 0.9725 3.0149 Dy
8.8547 10.4007 2.7977 Dy
5.9031 5.7829 4.5019 Dy
2.9516 7.4938 1.1536 Dy
8.8547 7.8017 4.7871 Tb
5.9031 2.6171 3.0550 Tb
2.9516 3.5715 1.0254 Tb
5.9031 8.7561 2.7576 Tb
0.0000 0.0000 0.0000 La
```

=====

In order of appearance, magnetic moment = 0.00 0.00 0.00 0.00 0.00 0.00 μB/f.u..
In order of appearance, ΔH_f (0 K) = 222 311 248 426 688 264 meV/atom.
In order of appearance, DOS at the Fermi energy = 13.6 21.1 13.2 25.0 13.7 20.4 states/eV/f.u..